The following is a DFT calculation (PBE) of VTc2Os after structural relaxation.

a = 9.9114 Å, b = 9.9114 Å, c = 9.9114 Å
α = 159.13°, β = 159.13°, γ = 29.69°
Sites, in units of the cell vectors:
1 V 0.0000 0.0000 0.0000
2 V 0.7500 0.2500 0.5000
3 Tc 0.1051 0.6250 0.9801
4 Tc 0.3750 0.3551 0.4801
5 Tc 0.6449 0.1250 0.0199
6 Tc 0.8750 0.8949 0.5199
7 Os 0.2500 0.7500 0.5000
8 Os 0.5000 0.5000 0.0000

Summary:
N(E_F) = 12.90 states/eV per cell
total magnetization = 0.000 μB/f.u.
E above lowest polymorph = 0.642 eV per atom
ρ = 11.75 g cm⁻³

=====

The following is a DFT calculation (PBE) of V3TcOs after structural relaxation.

a = 7.7242 Å, b = 7.7242 Å, c = 6.6906 Å
α = 106.98°, β = 106.98°, γ = 22.23°
Sites, in units of the cell vectors:
1 V 0.0443 0.0443 0.2423
2 V 0.2284 0.2284 0.1396
3 V 0.3170 0.3170 0.5958
4 V 0.6830 0.6830 0.4042
5 V 0.7716 0.7716 0.8604
6 V 0.9557 0.9557 0.7577
7 Tc 0.4113 0.4113 0.0491
8 Tc 0.5887 0.5887 0.9509
9 Os 0.1350 0.1350 0.6671
10 Os 0.8650 0.8650 0.3329

Summary:
N(E_F) = 8.97 states/eV per cell
total magnetization = 0.000 μB/f.u.
E above lowest polymorph = 0.000 eV per atom
ρ = 10.16 g cm⁻³

=====

The following is a DFT calculation (PBE) of V5Tc4Os after structural relaxation.

a = 3.0249 Å, b = 3.0249 Å, c = 15.1214 Å
α = 90.00°, β = 90.00°, γ = 90.00°
Sites, in units of the cell vectors:
1 V 0.0000 0.0000 0.0000
2 V 0.0000 0.0000 0.1993
3 V 0.0000 0.0000 0.3974
4 V 0.0000 0.0000 0.6026
5 V 0.0000 0.0000 0.8007
6 Tc 0.5000 0.5000 0.1002
7 Tc 0.5000 0.5000 0.3004
8 Tc 0.5000 0.5000 0.6996
9 Tc 0.5000 0.5000 0.8998
10 Os 0.5000 0.5000 0.5000

Summary:
N(E_F) = 5.03 states/eV per cell
total magnetization = 0.000 μB/f.u.
ρ = 10.04 g cm⁻³
total DFT energy (no corrections) = -101.9 eV for the cell shown

=====

The following is a DFT calculation (PBE) of VTc2Os after structural relaxation.

a = 4.3300 Å, b = 4.3300 Å, c = 4.3300 Å
α = 60.00°, β = 60.00°, γ = 60.00°
Sites, in units of the cell vectors:
1 V 0.0000 0.0000 0.0000
2 Tc 0.2500 0.2500 0.2500
3 Tc 0.7500 0.7500 0.7500
4 Os 0.5000 0.5000 0.5000

Summary:
N(E_F) = 5.46 states/eV per cell
total magnetization = 0.000 μB/f.u.
E above lowest polymorph = 0.109 eV per atom
ρ = 12.65 g cm⁻³

=====

The following is a DFT calculation (PBE) of VTcOs after structural relaxation.

a = 5.1004 Å, b = 5.1004 Å, c = 5.1004 Å
α = 145.48°, β = 145.48°, γ = 49.61°
Sites, in units of the cell vectors:
1 V 0.0000 0.0000 0.0000
2 Tc 0.6526 0.6526 0.0000
3 Os 0.3419 0.3419 0.0000

Summary:
N(E_F) = 2.83 states/eV per cell
total magnetization = 0.000 μB/f.u.
E above lowest polymorph = 0.000 eV per atom
ρ = 13.28 g cm⁻³

=====

The following is a DFT calculation (PBE) of V6Tc5Os after structural relaxation.

a = 7.3945 Å, b = 7.3945 Å, c = 7.3945 Å
α = 146.31°, β = 131.65°, γ = 60.22°
Sites, in units of the cell vectors:
1 V 0.0814 0.3326 0.7489
2 V 0.2477 0.0000 0.2477
3 V 0.4163 0.6674 0.7489
4 V 0.5837 0.3326 0.2511
5 V 0.7523 0.0000 0.7523
6 V 0.9186 0.6674 0.2511
7 Tc 0.0000 0.5000 0.5000
8 Tc 0.1672 0.1672 0.0000
9 Tc 0.3345 0.8345 0.5000
10 Tc 0.6655 0.1655 0.5000
11 Tc 0.8328 0.8328 0.0000
12 Os 0.5000 0.5000 0.0000

Summary:
N(E_F) = 5.98 states/eV per cell
total magnetization = 0.000 μB/f.u.
ρ = 9.86 g cm⁻³
total DFT energy (no corrections) = -122.2 eV for the cell shown

=====

The following is a DFT calculation (PBE) of V3TcOs after structural relaxation.

a = 4.5694 Å, b = 4.5694 Å, c = 4.5694 Å
α = 90.00°, β = 90.00°, γ = 90.00°
Sites, in units of the cell vectors:
1 V 0.0000 0.0000 0.5000
2 V 0.0000 0.5000 0.0000
3 V 0.5000 0.0000 0.0000
4 Tc 0.5000 0.5000 0.5000
5 Os 0.0000 0.0000 0.0000

Summary:
N(E_F) = 6.13 states/eV per cell
total magnetization = 1.718 μB/f.u.
E above lowest polymorph = 1.370 eV per atom
ρ = 7.68 g cm⁻³

=====

The following is a DFT calculation (PBE) of V4Tc3Os after structural relaxation.

a = 3.0281 Å, b = 4.2749 Å, c = 8.5478 Å
α = 90.00°, β = 90.00°, γ = 90.00°
Sites, in units of the cell vectors:
1 V 0.0000 0.0000 0.0000
2 V 0.0000 0.0000 0.5000
3 V 0.0000 0.5000 0.2467
4 V 0.0000 0.5000 0.7533
5 Tc 0.5000 0.0000 0.2517
6 Tc 0.5000 0.0000 0.7483
7 Tc 0.5000 0.5000 0.0000
8 Os 0.5000 0.5000 0.5000

Summary:
N(E_F) = 4.10 states/eV per cell
total magnetization = 0.000 μB/f.u.
ρ = 10.32 g cm⁻³
total DFT energy (no corrections) = -81.7 eV for the cell shown